TbPm7Th3: relaxed, PBE.

Summary:
VASP energy: -5.301 eV per atom

```
TbPm7Th3
1.0
-6.787 -0.323 -0.494
1.831 -7.538 4.218
-1.392 2.039 6.032
Tb Pm Th
1 7 3
Direct
0.500 0.500 0.500 Tb
0.230 0.202 0.302 Pm
0.283 0.855 0.574 Pm
0.731 0.424 0.007 Pm
0.269 0.576 0.993 Pm
0.000 0.500 0.500 Pm
0.717 0.145 0.426 Pm
0.770 0.798 0.698 Pm
0.948 0.835 0.166 Th
0.500 0.000 0.000 Th
0.052 0.165 0.834 Th
```



Tb2PmTh: relaxed, PBE.

Summary:
VASP energy: -5.342 eV per atom

```
Tb2PmTh
1.0
3.596 0.000 0.000
1.798 3.114 0.000
1.798 1.038 11.611
Tb Pm Th
2 1 1
Direct
0.748 0.748 0.756 Tb
0.252 0.252 0.244 Tb
0.500 0.500 0.500 Pm
0.000 0.000 0.000 Th
```



Tb7Pm3Th2: relaxed, PBE.

Summary:
VASP energy: -4.846 eV per atom

```
Tb7Pm3Th2
1.0
3.607 0.000 -0.472
0.000 5.657 0.003
0.863 0.012 20.667
Tb Pm Th
7 3 2
Direct
0.285 0.500 0.570 Tb
0.715 0.500 0.430 Tb
0.415 0.999 0.831 Tb
0.000 0.000 0.000 Tb
0.585 0.001 0.169 Tb
0.067 0.501 0.134 Tb
0.933 0.499 0.866 Tb
0.500 0.500 0.000 Pm
0.829 0.000 0.658 Pm
0.171 0.000 0.342 Pm
0.362 0.500 0.725 Th
0.638 0.500 0.275 Th
```



Tb6Pm5Th: relaxed, PBE.

Summary:
VASP energy: -4.890 eV per atom

```
Tb6Pm5Th
1.0
-1.959 -2.680 -3.873
6.674 4.264 -6.327
2.597 -6.452 6.511
Tb Th Pm
6 1 5
Direct
0.835 0.588 0.670 Tb
0.835 0.083 0.670 Tb
0.500 0.755 0.000 Tb
0.500 0.245 0.000 Tb
0.165 0.917 0.330 Tb
0.165 0.412 0.330 Tb
0.000 0.000 0.000 Th
0.665 0.165 0.330 Pm
0.334 0.334 0.668 Pm
0.000 0.500 0.000 Pm
0.666 0.666 0.332 Pm
0.335 0.835 0.670 Pm
```



- Which value of VASP energy does entry 2 give?
  -5.342 eV per atom



- The highest VASP energy belongs to which entry?
  Tb7Pm3Th2



- VASP energy of number 2 (Tb2PmTh)?
  -5.342 eV per atom